A PBEsol-optimized structure of Rb2SrTeIr, computed with meta-GGA SCAN.

Summary:
Energy relative to the elements, uncorrected (meV/atom): 856
Crystal system: tetragonal
Theoretical density (g/cm³): 2.948

Cell lengths 7.474, 7.474, 5.832 Å; angles 90.00, 90.00, 90.00 degrees
Sites, in units of the cell vectors:
Rb (0.000, 0.500, 0.000)
Rb (0.500, 0.000, 0.000)
Sr (0.000, 0.000, 0.000)
Te (0.000, 0.000, 0.500)
Ir (0.500, 0.500, 0.500)

---

A PBEsol-optimized structure of Rb2YTcIr, computed with meta-GGA SCAN.

Summary:
Formation enthalpy at 0 K (eV/atom): 1.50
Crystal system: tetragonal
Theoretical density (g/cm³): 6.474

Cell lengths 5.426, 5.426, 4.792 Å; angles 90.00, 90.00, 90.00 degrees
Sites, in units of the cell vectors:
Rb (0.000, 0.500, 0.000)
Rb (0.500, 0.000, 0.000)
Y (0.000, 0.000, 0.500)
Tc (0.500, 0.500, 0.000)
Ir (0.500, 0.500, 0.500)

---

A PBEsol-optimized structure of RbZn3Ir, computed with meta-GGA SCAN.

Summary:
Formation enthalpy at 0 K (eV/atom): -0.14
Crystal system: cubic
Theoretical density (g/cm³): 6.818

Cell lengths 4.869, 4.869, 4.869 Å; angles 90.00, 90.00, 90.00 degrees
Sites, in units of the cell vectors:
Rb (0.000, 0.000, 0.000)
Zn (0.000, 0.500, 0.500)
Zn (0.500, 0.000, 0.500)
Zn (0.500, 0.500, 0.000)
Ir (0.500, 0.500, 0.500)

---

A PBEsol-optimized structure of ReIr2, computed with meta-GGA SCAN.

Summary:
Formation enthalpy at 0 K (eV/atom): -0.19
Crystal system: tetragonal
Theoretical density (g/cm³): 22.291
Energy relative to the lowest polymorph listed for this composition (meV per atom): 84

Cell lengths 11.774, 11.774, 11.774 Å; angles 161.17, 161.17, 26.76 degrees
Sites, in units of the cell vectors:
Re (0.289, 0.539, 0.750)
Re (0.461, 0.711, 0.750)
Re (0.539, 0.289, 0.250)
Re (0.711, 0.461, 0.250)
Ir (0.041, 0.791, 0.250)
Ir (0.123, 0.373, 0.750)
Ir (0.209, 0.959, 0.250)
Ir (0.373, 0.123, 0.250)
Ir (0.627, 0.877, 0.750)
Ir (0.791, 0.041, 0.750)
Ir (0.877, 0.627, 0.250)
Ir (0.959, 0.209, 0.750)

---

A PBEsol-optimized structure of ReIr, computed with meta-GGA SCAN.

Summary:
Formation enthalpy at 0 K (eV/atom): 0.24
Crystal system: tetragonal
Theoretical density (g/cm³): 21.442
Energy relative to the lowest polymorph listed for this composition (meV per atom): 592

Cell lengths 3.265, 3.265, 5.498 Å; angles 90.00, 90.00, 90.00 degrees
Sites, in units of the cell vectors:
Re (0.250, 0.250, 0.133)
Re (0.750, 0.750, 0.867)
Ir (0.250, 0.250, 0.617)
Ir (0.750, 0.750, 0.383)

---

A PBEsol-optimized structure of ReIr8, computed with meta-GGA SCAN.

Summary:
Formation enthalpy at 0 K (eV/atom): -0.11
Crystal system: tetragonal
Theoretical density (g/cm³): 22.579

Cell lengths 6.063, 6.063, 6.063 Å; angles 95.73, 95.73, 143.17 degrees
Sites, in units of the cell vectors:
Re (0.000, 0.000, 0.000)
Ir (0.000, 0.331, 0.331)
Ir (0.000, 0.669, 0.669)
Ir (0.331, 0.000, 0.331)
Ir (0.337, 0.337, 0.674)
Ir (0.337, 0.663, 0.000)
Ir (0.663, 0.337, 0.000)
Ir (0.663, 0.663, 0.326)
Ir (0.669, 0.000, 0.669)

---

Which of these has the lowest theoretical density?
Rb2SrTeIr